1.
A geometry-optimized Ba2TlHPd6 structure. Source: the Alexandria database, functional PBE.

Cell: 6.0396 7.3704 6.0343 Å, 65.70 59.97 89.99°
With the nearest neighbours (Å) after each atom.
Positions (direct):
Pd (0.7818, 0.3346, 0.9426)  1 H 2.06
Pd (0.2755, 0.3347, 0.9425)  1 H 2.06
Pd (0.7245, 0.6653, 0.0575)  1 H 2.06
Pd (0.2768, 0.3348, 0.4464)  1 H 2.05
Pd (0.7232, 0.6652, 0.5536)  1 H 2.05
Pd (0.2182, 0.6654, 0.0574)  1 H 2.06
Tl (0.0000, 0.0000, 0.0000)  6 Pd 2.77
Ba (0.2728, 0.8168, 0.4543)  6 Pd 3.17-3.18
Ba (0.7272, 0.1832, 0.5456)  6 Pd 3.17-3.18
H (0.5000, 0.5000, 0.0000)  6 Pd 2.05-2.06

Calculated values
- E (hartree per atom) = -0.1643
- spin magnetization (μB per cell) = 0.000
- volume (Å³/atom) = 20.46



2.
A geometry-optimized Li2ThMg structure. Source: the Alexandria database, functional PBE.

Cell: 3.2425 3.2425 11.5745 Å, 81.95 81.95 60.00°
With the nearest neighbours (Å) after each atom.
Positions (direct):
Th (0.0000, 0.0000, 0.0000)  2 Li 3.20, 6 Th 3.24
Li (0.0935, 0.0935, 0.7196)  3 Mg 3.13, 1 Th 3.20, 6 Li 3.24
Li (0.9065, 0.9065, 0.2804)  3 Mg 3.13, 1 Th 3.20, 6 Li 3.24
Mg (0.5000, 0.5000, 0.5000)  6 Li 3.13, 6 Mg 3.24

Calculated values
- E (hartree per atom) = -0.1101
- distance to the lowest polymorph of the same formula (eV per atom) = 0.083
- spin magnetization (μB per cell) = 0.000
- volume (Å³/atom) = 26.00
- ΔE_f (eV/atom) = 0.22



3.
A geometry-optimized La2SiPdAu6 structure. Source: the Alexandria database, functional PBE.

Cell: 6.6692 7.2840 7.2844 Å, 44.52 78.32 96.44°
With the nearest neighbours (Å) after each atom.
Positions (direct):
Pd (0.0000, 0.0000, 0.0000)  6 Au 2.73-2.78
Au (0.2912, 0.2723, 0.4821)  1 Si 2.49, 1 Pd 2.73, 2 Au 2.75-2.77
Au (0.7088, 0.7277, 0.5179)  1 Si 2.49, 1 Pd 2.73, 2 Au 2.75-2.77
Au (0.7086, 0.2261, 0.0191)  1 Si 2.50, 1 Pd 2.73, 2 Au 2.75-2.77
Au (0.0956, 0.2483, 0.1507)  1 Si 2.58, 1 Pd 2.78
Au (0.2914, 0.7739, 0.9809)  1 Si 2.50, 1 Pd 2.73, 2 Au 2.75-2.77
Au (0.9044, 0.7517, 0.8493)  1 Si 2.58, 1 Pd 2.78
La (0.7502, 0.2754, 0.5273)  7 Au 3.13-3.34, 2 Pd 3.45
La (0.2498, 0.7246, 0.4727)  7 Au 3.13-3.34, 2 Pd 3.45
Si (0.5000, 0.5000, 0.0000)  6 Au 2.49-2.58

Calculated values
- E (hartree per atom) = -0.1661
- uncorrected formation energy (meV/atom) = -506.7
- spin magnetization (μB per cell) = 0.000
- volume (Å³/atom) = 22.54



4.
A geometry-optimized Ac2MgTl3 structure. Source: the Alexandria database, functional PBE.

Cell: 6.6028 6.6028 9.9190 Å, 103.85 103.85 106.30°
With the nearest neighbours (Å) after each atom.
Positions (direct):
Mg (0.6668, 0.6668, 0.3335)  3 Tl 2.95-2.97
Mg (0.3332, 0.3332, 0.6665)  3 Tl 2.95-2.97
Tl (0.3422, 0.8288, 0.1710)  1 Mg 2.97, 2 Tl 3.11-3.12
Tl (0.8292, 0.8292, 0.6585)  1 Mg 2.95, 2 Tl 3.12
Tl (0.1708, 0.1708, 0.3415)  1 Mg 2.95, 2 Tl 3.12
Tl (0.8288, 0.3422, 0.1710)  1 Mg 2.97, 2 Tl 3.11-3.12
Tl (0.1712, 0.6578, 0.8290)  1 Mg 2.97, 2 Tl 3.11-3.12
Tl (0.6578, 0.1712, 0.8290)  1 Mg 2.97, 2 Tl 3.11-3.12
Ac (0.2429, 0.2429, 0.0000)  10 Tl 3.63-3.67, 2 Mg 3.65, 1 Ac 3.85
Ac (0.7571, 0.7571, 0.0000)  10 Tl 3.63-3.67, 2 Mg 3.65, 1 Ac 3.85
Ac (0.2500, 0.7500, 0.5000)  8 Tl 3.59-3.60, 4 Mg 3.63, 2 Ac 3.96
Ac (0.7500, 0.2500, 0.5000)  8 Tl 3.59-3.60, 4 Mg 3.63, 2 Ac 3.96

Calculated values
- E (hartree per atom) = -0.1140
- distance to the lowest polymorph of the same formula (eV per atom) = 0.000
- spin magnetization (μB per cell) = 0.000
- volume (Å³/atom) = 31.71
- ΔE_f (eV/atom) = -0.28



5.
A geometry-optimized Sr2PRh structure. Source: the Alexandria database, functional PBE.

Cell: 5.9115 5.9115 5.9115 Å, 136.50 136.50 63.20°
With the nearest neighbours (Å) after each atom.
Positions (direct):
Rh (0.7500, 0.2500, 0.5000)  8 Sr 3.10-3.34, 4 P 3.34
Sr (0.2500, 0.7500, 0.5000)  4 Rh 3.10, 4 P 3.34, 4 Sr 3.34
Sr (0.0000, 0.0000, 0.0000)  4 P 3.10, 4 Rh 3.34, 4 Sr 3.34
P (0.5000, 0.5000, 0.0000)  8 Sr 3.10-3.34, 4 Rh 3.34

Calculated values
- E (hartree per atom) = -0.1563
- spin magnetization (μB per cell) = 0.000
- volume (Å³/atom) = 24.16
- ΔE_f (eV/atom) = -0.22



6.
A geometry-optimized ReBSe2N structure. Source: the Alexandria database, functional PBE.

Cell: 5.2644 5.2644 2.6874 Å, 90.00 90.00 90.00°
With the nearest neighbours (Å) after each atom.
Positions (direct):
Se (0.0000, 0.5000, 0.0000)  2 B 2.63, 2 Se 2.69
Se (0.5000, 0.0000, 0.0000)  2 B 2.63, 2 Se 2.69
N (0.0000, 0.0000, 0.5000)  2 B 1.34
Re (0.5000, 0.5000, 0.5000)  2 Re 2.69, 8 Se 2.96
B (0.0000, 0.0000, 0.0000)  2 N 1.34

Calculated values
- E (hartree per atom) = -0.2250
- uncorrected formation energy (meV/atom) = 761.8
- distance to the lowest polymorph of the same formula (eV per atom) = 0.000
- spin magnetization (μB per cell) = 1.433
- volume (Å³/atom) = 14.90



7.
A geometry-optimized Tl2GaSe2 structure. Source: the Alexandria database, functional PBE.

Cell: 6.7197 7.7343 8.1125 Å, 60.07 65.53 64.25°
With the nearest neighbours (Å) after each atom.
Positions (direct):
Se (0.4876, 0.2586, 0.7661)  2 Ga 2.49
Se (0.1782, 0.2602, 0.3834)  1 Ga 2.38
Se (0.5124, 0.7414, 0.2339)  2 Ga 2.49
Se (0.8218, 0.7398, 0.6166)  1 Ga 2.38
Ga (0.3707, 0.1270, 0.1315)  3 Se 2.38-2.49
Ga (0.6293, 0.8730, 0.8685)  3 Se 2.38-2.49
Tl (0.2802, 0.7754, 0.6643)  5 Se 3.20-3.40
Tl (0.7198, 0.2246, 0.3357)  5 Se 3.20-3.40
Tl (0.0401, 0.7429, 0.1769)  4 Se 3.11-3.39
Tl (0.9599, 0.2571, 0.8231)  4 Se 3.11-3.39

Calculated values
- E (hartree per atom) = -0.1190
- uncorrected formation energy (meV/atom) = -292.9
- distance to the lowest polymorph of the same formula (eV per atom) = 0.000
- spin magnetization (μB per cell) = 0.000
- volume (Å³/atom) = 31.84



8.
A geometry-optimized Y5ErSn4 structure. Source: the Alexandria database, functional PBE.

Cell: 3.6943 9.4747 9.6461 Å, 105.38 101.04 90.00°
With the nearest neighbours (Å) after each atom.
Positions (direct):
Y (0.8256, 0.6404, 0.6511)  3 Sn 3.11-3.15
Y (0.8347, 0.1878, 0.6694)  4 Sn 3.05-3.18
Y (0.1653, 0.8122, 0.3306)  4 Sn 3.05-3.18
Y (0.1744, 0.3596, 0.3489)  3 Sn 3.11-3.15
Y (0.5000, 0.5000, 0.0000)  4 Sn 2.99
Sn (0.0042, 0.2542, 0.0083)  4 Y 2.99-3.11, 2 Er 3.02
Sn (0.6676, 0.0867, 0.3351)  5 Y 3.05-3.18, 1 Er 3.06
Sn (0.3324, 0.9133, 0.6649)  5 Y 3.05-3.18, 1 Er 3.06
Sn (0.9958, 0.7458, 0.9917)  4 Y 2.99-3.11, 2 Er 3.02
Er (0.5000, 0.0000, 0.0000)  6 Sn 3.02-3.06

Calculated values
- E (hartree per atom) = -0.2071
- spin magnetization (μB per cell) = 0.000
- volume (Å³/atom) = 31.91
- ΔE_f (eV/atom) = -0.35



9.
A geometry-optimized Co2As2P structure. Source: the Alexandria database, functional PBE.

Cell: 7.1821 7.1821 2.7193 Å, 90.00 90.00 90.00°
With the nearest neighbours (Å) after each atom.
Positions (direct):
As (0.3408, 0.8408, 0.0000)  6 Co 2.49-2.54, 2 P 2.70, 2 As 2.72
As (0.1592, 0.3408, 0.0000)  6 Co 2.49-2.54, 2 P 2.70, 2 As 2.72
As (0.6592, 0.1592, 0.0000)  6 Co 2.49-2.54, 2 P 2.70, 2 As 2.72
As (0.8408, 0.6592, 0.0000)  6 Co 2.49-2.54, 2 P 2.70, 2 As 2.72
Co (0.6292, 0.8708, 0.5000)  6 As 2.49-2.54, 3 Co 2.63-2.72
Co (0.3708, 0.1292, 0.5000)  6 As 2.49-2.54, 3 Co 2.63-2.72
Co (0.8708, 0.3708, 0.5000)  6 As 2.49-2.54, 3 Co 2.63-2.72
Co (0.1292, 0.6292, 0.5000)  6 As 2.49-2.54, 3 Co 2.63-2.72
P (0.5000, 0.5000, 0.0000)  4 As 2.70, 2 P 2.72
P (0.0000, 0.0000, 0.0000)  4 As 2.70, 2 P 2.72

Calculated values
- E (hartree per atom) = -0.2004
- distance to the lowest polymorph of the same formula (eV per atom) = 0.281
- spin magnetization (μB per cell) = 0.000
- volume (Å³/atom) = 14.03
- ΔE_f (eV/atom) = 0.33



10.
A geometry-optimized BaPdI2 structure. Source: the Alexandria database, functional PBE.

Cell: 5.7196 5.7196 5.7196 Å, 60.00 60.00 60.00°
With the nearest neighbours (Å) after each atom.
Positions (direct):
Ba (0.5000, 0.5000, 0.5000)  8 I 3.50
Pd (0.0000, 0.0000, 0.0000)  8 I 3.50
I (0.7500, 0.7500, 0.7500)  4 Ba 3.50, 4 Pd 3.50
I (0.2500, 0.2500, 0.2500)  4 Ba 3.50, 4 Pd 3.50

Calculated values
- E (hartree per atom) = -0.1240
- uncorrected formation energy (meV/atom) = -819.8
- distance to the lowest polymorph of the same formula (eV per atom) = 0.032
- spin magnetization (μB per cell) = 0.000
- volume (Å³/atom) = 33.08



11.
A geometry-optimized Tm3RuN structure. Source: the Alexandria database, functional PBE.

Cell: 4.6144 4.6144 4.6144 Å, 90.00 90.00 90.00°
With the nearest neighbours (Å) after each atom.
Positions (direct):
Tm (0.5000, 0.0000, 0.0000)  2 N 2.31
Tm (0.0000, 0.5000, 0.0000)  2 N 2.31
Tm (0.0000, 0.0000, 0.5000)  2 N 2.31
Ru (0.5000, 0.5000, 0.5000)  12 Tm 3.26
N (0.0000, 0.0000, 0.0000)  6 Tm 2.31

Calculated values
- E (hartree per atom) = -0.2556
- uncorrected formation energy (meV/atom) = -750.7
- spin magnetization (μB per cell) = 0.000
- volume (Å³/atom) = 19.65